# 1
VASP calculation (PBE) on an optimized crystal structure of Tm7Ga2Hg2.

Computed properties:
final energy	-3.56	eV/atom
ΔH_f (0 K)	-1.2	eV/f.u.

Unit cell a=7.503 b=10.747 c=7.610 alpha=90.00 beta=90.00 gamma=90.00
Space group Cmmm (No. 65)
Symmetry-distinct sites (fractional):
Tm 0.000 0.000 0.000 [2 per cell]
Tm 0.000 0.500 0.274 [4 per cell]
Tm 0.250 0.250 0.292 [8 per cell]
Ga 0.171 0.000 0.500 [4 per cell]
Hg 0.000 0.294 0.000 [4 per cell]

=====

# 2
VASP calculation (PBE) on an optimized crystal structure of TmGaHg.

Computed properties:
final energy	-3.04	eV/atom
ΔH_f (0 K)	-1.3	eV/f.u.

Unit cell a=4.6299 b=4.6299 c=7.0897 alpha=90.00 beta=90.00 gamma=120.00
Space group P6_3/mmc (No. 194)
Symmetry-distinct sites (fractional):
Tm 0.0000 0.0000 0.0000 [2 per cell]
Ga 0.3333 0.6667 0.2500 [2 per cell]
Hg 0.3333 0.6667 0.7500 [2 per cell]

=====

# 3
VASP calculation (PBE) on an optimized crystal structure of Tm2GaHg.

Computed properties:
final energy	-3.59	eV/atom
ΔH_f (0 K)	-2.1	eV/f.u.

Unit cell a=3.582 b=3.582 c=7.291 alpha=90.00 beta=90.00 gamma=90.00
Space group P4/mmm (No. 123)
Symmetry-distinct sites (fractional):
Tm 0.000 0.000 0.237 [2 per cell]
Ga 0.500 0.500 0.000 [1 per cell]
Hg 0.500 0.500 0.500 [1 per cell]